DFT (PBE) results for crystalline ZrAsCSe2 at its relaxed geometry.

abc: 5.165 5.165 5.318
angles: 90.00 90.00 90.00
Element x y z (fractional)
1 Zr 0.000 0.000 0.000
2 As 0.000 0.000 0.500
3 C 0.500 0.500 0.500
4 Se 0.000 0.500 0.000
5 Se 0.500 0.000 0.000

Output
Total magnetization ... 0.95 μB/f.u.
Density ... 3934 kg/m³
Final energy ... -4.625 eV per atom